# 1
Compound: Hf2Al2GaIr5
Source: Alexandria
Functional: PBE-GGA
Structure: optimized geometry

## Properties
**SG**: P4/mbm, No. 127
**DFT total energy**: -163.97 eV per cell
**Fermi-level density of states**: 1.679 states/eV/f.u.

Geometry as POSCAR:
```
Hf2Al2GaIr5
1.0
-3.470 -0.504 -0.636
2.129 -4.680 -7.910
0.285 -8.082 4.858
Hf Al Ga Ir
4 4 2 10
Direct
0.000 0.675 0.175
0.000 0.325 0.825
0.000 0.175 0.325
0.000 0.825 0.675
0.000 0.125 0.625
0.000 0.875 0.375
0.000 0.625 0.875
0.000 0.375 0.125
0.000 0.000 0.000
0.000 0.500 0.500
0.500 0.203 0.070
0.500 0.797 0.930
0.500 0.070 0.797
0.500 0.703 0.430
0.500 0.930 0.203
0.500 0.297 0.570
0.500 0.570 0.703
0.500 0.430 0.297
0.500 0.500 0.000
0.500 0.000 0.500
```

=====

# 2
Compound: SrMg2MnFe
Source: Alexandria
Functional: PBE-GGA
Structure: optimized geometry

## Properties
**SG**: P4/mmm, No. 123
**DFT total energy**: -18.49 eV per cell
**Fermi-level density of states**: 6.497 states/eV/f.u.

Geometry as POSCAR:
```
SrMg2MnFe
1.0
5.053 0.000 0.000
0.000 5.321 0.000
0.000 0.000 5.053
Sr Mg Mn Fe
1 2 1 1
Direct
0.000 0.500 0.000
0.000 0.000 0.500
0.500 0.000 0.000
0.500 0.500 0.500
0.000 0.000 0.000
```

=====

# 3
Compound: PmTiNbIr2
Source: Alexandria
Functional: PBE-GGA
Structure: optimized geometry

## Properties
**SG**: I-4m2, No. 119
**DFT total energy**: -43.89 eV per cell
**Fermi-level density of states**: 3.240 states/eV/f.u.

Geometry as POSCAR:
```
PmTiNbIr2
1.0
4.390 0.000 0.000
0.000 4.390 0.000
-2.195 -2.195 5.301
Pm Ti Nb Ir
1 1 1 2
Direct
0.000 0.000 0.000
0.750 0.250 0.500
0.250 0.750 0.500
0.623 0.623 0.246
0.377 0.377 0.754
```

=====

# 4
Compound: Mn2CuSnBi
Source: Alexandria
Functional: PBE-GGA
Structure: optimized geometry

## Properties
**SG**: P4/mmm, No. 123
**DFT total energy**: -27.42 eV per cell
**Fermi-level density of states**: 2.107 states/eV/f.u.

Geometry as POSCAR:
```
Mn2CuSnBi
1.0
-1.153 1.861 -4.461
-2.286 -4.252 -1.183
-4.259 1.777 1.843
Mn Bi Cu Sn
2 1 1 1
Direct
0.000 0.000 0.500
0.500 0.000 0.000
0.500 0.500 0.500
0.000 0.000 0.000
0.000 0.500 0.000
```

=====

# 5
Compound: Pr2Er7Tm2
Source: Alexandria
Functional: PBE-GGA
Structure: optimized geometry

## Properties
**SG**: C2/m, No. 12
**DFT total energy**: -48.96 eV per cell
**Fermi-level density of states**: 15.008 states/eV/f.u.

Geometry as POSCAR:
```
Pr2Er7Tm2
1.0
-2.178 -1.499 -2.391
-6.571 0.674 8.144
-4.605 9.378 0.897
Pr Er Tm
2 7 2
Direct
0.500 0.726 0.274
0.500 0.274 0.726
0.170 0.918 0.419
0.830 0.581 0.082
0.830 0.082 0.581
0.170 0.419 0.918
0.000 0.000 0.000
0.631 0.626 0.626
0.369 0.374 0.374
0.301 0.801 0.801
0.699 0.199 0.199
```

=====

# 6
Compound: LiHfCd2
Source: Alexandria
Functional: PBE-GGA
Structure: optimized geometry

## Properties
**SG**: I-42d, No. 122
**DFT total energy**: -24.92 eV per cell
**Fermi-level density of states**: 1.754 states/eV/f.u.

Geometry as POSCAR:
```
LiHfCd2
1.0
-6.457 0.887 -3.682
-2.904 -5.830 3.689
-5.658 -0.618 2.164
Li Hf Cd
2 2 4
Direct
0.500 0.500 0.000
0.250 0.750 0.500
0.000 0.000 0.000
0.750 0.250 0.500
0.589 0.125 0.250
0.161 0.625 0.250
0.375 0.411 0.750
0.875 0.839 0.750
```

=====

# 7
Compound: BaLiInPd2
Source: Alexandria
Functional: PBE-GGA
Structure: optimized geometry

## Properties
**SG**: I-4m2, No. 119
**DFT total energy**: -19.76 eV per cell
**Fermi-level density of states**: 1.176 states/eV/f.u.

Geometry as POSCAR:
```
BaLiInPd2
1.0
4.412 0.000 0.000
0.000 4.412 0.000
-2.206 -2.206 6.044
Ba Li In Pd
1 1 1 2
Direct
0.000 0.000 0.000
0.250 0.750 0.500
0.750 0.250 0.500
0.615 0.615 0.230
0.385 0.385 0.770
```

=====

# 8
Compound: Ac6PrS8
Source: Alexandria
Functional: PBE-GGA
Structure: optimized geometry

## Properties
**E_form (uncorrected)**: -2.037 eV per atom
**SG**: Fm-3m, No. 225
**DFT total energy**: -93.00 eV per cell
**Fermi-level density of states**: 7.671 states/eV/f.u.

Geometry as POSCAR:
```
Ac6PrS8
1.0
8.570 0.000 0.000
4.285 7.422 0.000
4.285 2.474 6.998
Ac Pr S
6 1 8
Direct
0.000 0.500 0.500
0.500 0.000 0.000
0.500 0.500 0.000
0.000 0.000 0.500
0.000 0.500 0.000
0.500 0.000 0.500
0.000 0.000 0.000
0.750 0.750 0.750
0.250 0.250 0.250
0.759 0.241 0.241
0.241 0.759 0.759
0.241 0.241 0.759
0.759 0.759 0.241
0.759 0.241 0.759
0.241 0.759 0.241
```

=====

# 9
Compound: CdTeAu
Source: Alexandria
Functional: PBE-GGA
Structure: optimized geometry

## Properties
**E_form (uncorrected)**: -0.158 eV per atom
**SG**: P1, No. 1
**DFT total energy**: -15.62 eV per cell
**Fermi-level density of states**: 1.176 states/eV/f.u.

Geometry as POSCAR:
```
CdTeAu
1.0
-0.959 0.388 4.241
0.080 -3.958 -1.851
9.224 1.697 1.871
Te Au Cd
2 2 2
Direct
0.166 0.365 0.109
0.957 0.962 0.495
0.671 0.395 0.641
0.775 0.598 0.947
0.390 0.832 0.795
0.560 0.159 0.296
```

=====

# 10
Compound: LiMgN2O
Source: Alexandria
Functional: PBE-GGA
Structure: optimized geometry

## Properties
**E_form (uncorrected)**: 0.711 eV per atom
**SG**: P4/mmm, No. 123
**DFT total energy**: -21.56 eV per cell
**Fermi-level density of states**: 1.369 states/eV/f.u.

Geometry as POSCAR:
```
LiMgN2O
1.0
4.231 0.000 0.000
0.000 4.231 0.000
0.000 0.000 3.898
Mg Li O N
1 1 1 2
Direct
0.000 0.000 0.000
0.500 0.500 0.500
0.000 0.000 0.500
0.000 0.500 0.000
0.500 0.000 0.000
```

=====

# 11
Compound: InTc3Sn
Source: Alexandria
Functional: PBE-GGA
Structure: optimized geometry

## Properties
**SG**: Pm-3m, No. 221
**DFT total energy**: -28.85 eV per cell
**Fermi-level density of states**: 5.098 states/eV/f.u.

Geometry as POSCAR:
```
InTc3Sn
1.0
-3.587 -3.260 0.576
-0.331 -0.493 -4.845
3.294 -3.599 0.141
Tc Sn In
3 1 1
Direct
0.000 0.500 0.000
0.000 0.000 0.500
0.500 0.000 0.000
0.000 0.000 0.000
0.500 0.500 0.500
```

=====

# 12
Compound: Y2GaN3
Source: Alexandria
Functional: PBE-GGA
Structure: optimized geometry

## Properties
**E_form (uncorrected)**: -1.117 eV per atom
**SG**: Cmc2_1, No. 36
**DFT total energy**: -95.27 eV per cell
**Fermi-level density of states**: 0.000 states/eV/f.u.

Geometry as POSCAR:
```
Y2GaN3
1.0
3.198 -5.689 0.000
3.198 5.689 0.000
0.000 0.000 5.135
Y Ga N
4 2 6
Direct
0.022 0.341 0.953
0.341 0.022 0.953
0.978 0.659 0.453
0.659 0.978 0.453
0.662 0.662 0.979
0.338 0.338 0.479
0.025 0.331 0.414
0.331 0.025 0.414
0.975 0.669 0.914
0.669 0.975 0.914
0.627 0.627 0.359
0.373 0.373 0.859
```

=====

In μB per formula unit, the magnetic moment values for the records above are, in order, 0.00, 6.25, 0.00, 8.39, 0.00, 0.00, 0.00, 0.00, 0.00, 5.01, 4.13, 0.00.